# 1
3
Lattice="-0.179 1.477 -4.402 1.457 -3.119 -3.122 -3.404 -1.913 -2.520" Properties=species:S:1:pos:R:3 comment="BaAsH, relaxed, DFT PBE" vol_a3_per_atom=26.6 total_magnetization_mub_per_atom=0.00 energy_ev_per_atom=-4.0390 pbc="T T T"
H -1.428 -2.388 -6.748
As -1.121 -1.874 -5.296
Ba -0.053 -0.089 -0.252



# 2
5
Lattice="4.590 0.000 0.000 0.000 4.528 0.000 0.000 0.000 4.590" Properties=species:S:1:pos:R:3 comment="Ta2VCuIr, relaxed, DFT PBE" vol_a3_per_atom=19.1 formation_energy_mev_per_atom=1193 total_magnetization_mub_per_atom=0.00 pbc="T T T"
V 0.000 0.000 0.000
Ir 0.000 2.264 0.000
Cu 2.295 2.264 2.295
Ta 0.000 0.000 2.295
Ta 2.295 0.000 0.000



# 3
11
Lattice="-4.499 2.862 -3.161 4.497 -5.850 -4.970 -1.919 -8.508 1.757" Properties=species:S:1:pos:R:3 comment="Na8GaPb2, relaxed, DFT PBE" vol_a3_per_atom=36.1 formation_energy_mev_per_atom=-18 total_magnetization_mub_per_atom=0.00 pbc="T T T"
Na -3.426 -4.043 -2.092
Na -1.056 -8.513 -1.597
Na -2.887 0.118 -2.707
Na 0.966 -11.613 -3.667
Na -0.865 -2.983 -4.776
Na 1.505 -7.452 -4.282
Na 0.149 -5.111 -1.877
Na -2.070 -6.384 -4.497
Ga 0.000 0.000 0.000
Pb -0.800 -2.070 -1.580
Pb -1.122 -9.426 -4.793